No. 1
Entry from the Alexandria database: Zn2CoSe after structural relaxation (GGA-PBEsol).

Cell lengths 3.778, 3.778, 7.789 Å; angles 90.00, 90.00, 90.00 degrees
Space group I-4m2 (No. 119)
Inequivalent atoms, fractional coordinates:
Zn: 0.000 0.000 0.000 [2 per cell]
Zn: 0.000 0.500 0.250 [2 per cell]
Co: 0.000 0.000 0.500 [2 per cell]
Se: 0.000 0.500 0.750 [2 per cell]

Values from the calculation:
crystal system	tetragonal
magnetization	0.70	μB/f.u.
total energy	-3.52	eV/atom
ΔE_f (raw)	0.17	eV per atom

No. 2
Entry from the Alexandria database: ZnCo2Se after structural relaxation (GGA-PBEsol).

Cell lengths 8.624, 2.917, 4.023 Å; angles 90.00, 103.76, 90.00 degrees
Space group Cm (No. 8)
Inequivalent atoms, fractional coordinates:
Zn: 0.000 0.000 0.000 [2 per cell]
Co: 0.022 0.500 0.507 [2 per cell]
Co: 0.239 0.500 0.119 [2 per cell]
Se: 0.247 0.000 0.593 [2 per cell]

Values from the calculation:
crystal system	monoclinic
magnetization	0.12	μB/f.u.
total energy	-5.12	eV/atom
ΔE_f (raw)	0.11	eV per atom

No. 3
Entry from the Alexandria database: ZnCo2Se after structural relaxation (GGA-PBEsol).

Cell lengths 2.806, 3.605, 5.128 Å; angles 90.00, 90.00, 90.00 degrees
Space group Pmmm (No. 47)
Inequivalent atoms, fractional coordinates:
Zn: 0.000 0.000 0.000 [1 per cell]
Co: 0.500 0.500 0.233 [2 per cell]
Se: 0.500 0.000 0.500 [1 per cell]

Values from the calculation:
crystal system	orthorhombic
magnetization	0.82	μB/f.u.
total energy	-5.07	eV/atom
ΔE_f (raw)	0.16	eV per atom

No. 4
Entry from the Alexandria database: ZnCo2Se after structural relaxation (GGA-PBEsol).

Cell lengths 6.417, 6.417, 5.264 Å; angles 90.00, 90.00, 90.00 degrees
Space group I-42d (No. 122)
Inequivalent atoms, fractional coordinates:
Zn: 0.000 0.000 0.000 [4 per cell]
Co: 0.211 0.750 0.625 [8 per cell]
Se: 0.000 0.000 0.500 [4 per cell]

Values from the calculation:
crystal system	tetragonal
magnetization	0.00	μB/f.u.
total energy	-4.87	eV/atom
ΔE_f (raw)	0.36	eV per atom

Which of these has the lowest ΔE_f (raw)?
number 2

What is the formula in the fourth record?
ZnCo2Se

Which of these has the lowest ΔE_f (raw)?
number 2